The following is a PBE calculation of crystalline LaAlPd2 at its relaxed geometry, from the Open Quantum Materials Database.

## Properties
magnetization = 0.00 μB/cell
calculated volume = 20.77 A^3/atom
energy = -5.6488 eV/atom

Cell: 4.4448 4.4448 9.7124 Å, 90.00 90.00 120.00°
With the nearest neighbours (Å) after each atom.
Space group P-3m1 (No. 164)
Inequivalent atoms, fractional coordinates:
La1 0.3333 0.6667 0.2489 [2 per cell]  8 Pd 3.08-3.13
Al1 0.0000 0.0000 0.0000 [1 per cell]  6 Pd 2.65
Al2 0.0000 0.0000 0.5000 [1 per cell]  6 Pd 2.65
Pd1 0.3333 0.6667 0.5669 [2 per cell]  3 Al 2.65, 3 Pd 2.88
Pd2 0.3333 0.6667 0.9320 [2 per cell]  3 Al 2.65, 3 Pd 2.89